[1]
Compound: Sc2CdPb
Source: the Alexandria database
Functional: SCAN
Structure: single point on PBEsol structure

## Properties
E_form, eV/atom: 0.08
Density of states at the Fermi level, states/eV per cell: 4.34
Crystal system: trigonal
Total DFT energy (no corrections), eV/atom: -33.588

Cell: 3.2187 3.2187 11.2027 Å, 81.74 81.74 60.00°
Last column: nearest neighbours and their distance in Å.
Fractional positions:
Pb1 0.5000 0.5000 0.5000  6 Sc 3.14, 6 Pb 3.22
Sc1 0.9098 0.9098 0.2707  1 Cd 2.99, 3 Pb 3.14, 6 Sc 3.22
Sc2 0.0902 0.0902 0.7293  1 Cd 2.99, 3 Pb 3.14, 6 Sc 3.22
Cd1 0.0000 0.0000 0.0000  2 Sc 2.99, 6 Cd 3.22

[2]
Compound: ScCd2Pb
Source: the Alexandria database
Functional: SCAN
Structure: single point on PBEsol structure

## Properties
E_form, eV/atom: -0.27
Density of states at the Fermi level, states/eV per cell: 2.37
Crystal system: tetragonal
Total DFT energy (no corrections), eV/atom: -37.983

Cell: 4.2743 4.2743 5.7390 Å, 111.86 111.86 90.00°
Last column: nearest neighbours and their distance in Å.
Fractional positions:
Pb1 0.5000 0.5000 0.0000  4 Sc 3.02, 8 Cd 3.24
Sc1 0.0000 0.0000 0.0000  4 Pb 3.02, 8 Cd 3.24
Cd1 0.7500 0.2500 0.5000  4 Cd 3.02, 4 Pb 3.24, 4 Sc 3.24
Cd2 0.2500 0.7500 0.5000  4 Cd 3.02, 4 Pb 3.24, 4 Sc 3.24

[3]
Compound: ScCd2Pb
Source: the Alexandria database
Functional: SCAN
Structure: single point on PBEsol structure

## Properties
E_form, eV/atom: -0.23
Density of states at the Fermi level, states/eV per cell: 2.59
Crystal system: monoclinic
Total DFT energy (no corrections), eV/atom: -37.939

Cell: 3.4961 4.8354 6.2755 Å, 115.94 106.17 90.00°
Last column: nearest neighbours and their distance in Å.
Fractional positions:
Pb1 0.0000 0.5000 0.0000  4 Sc 2.98, 4 Cd 3.29
Sc1 0.5000 0.0000 0.0000  4 Pb 2.98, 4 Cd 3.12
Cd1 0.7593 0.7588 0.5187  4 Cd 2.98-3.00, 2 Sc 3.12, 2 Pb 3.29
Cd2 0.2407 0.2412 0.4813  4 Cd 2.98-3.00, 2 Sc 3.12, 2 Pb 3.29

[4]
Compound: Cd2PbSe
Source: the Alexandria database
Functional: SCAN
Structure: single point on PBEsol structure

## Properties
Density of states at the Fermi level, states/eV per cell: 3.47
Crystal system: cubic
Total DFT energy (no corrections), eV/atom: -38.988

Cell: 5.1254 5.1254 5.1254 Å, 60.00 60.00 60.00°
Last column: nearest neighbours and their distance in Å.
Fractional positions:
Cd1 0.2500 0.2500 0.2500  4 Se 3.14, 4 Pb 3.14
Cd2 0.7500 0.7500 0.7500  4 Pb 3.14, 4 Se 3.14
Pb1 0.0000 0.0000 0.0000  8 Cd 3.14
Se1 0.5000 0.5000 0.5000  8 Cd 3.14

[5]
Compound: CdPb3Se4
Source: the Alexandria database
Functional: SCAN
Structure: single point on PBEsol structure

## Properties
Crystal system: trigonal
Total DFT energy (no corrections), eV/atom: -42.825

Cell: 4.2309 4.2309 13.9798 Å, 81.30 81.30 60.00°
Last column: nearest neighbours and their distance in Å.
Fractional positions:
Cd1 0.0000 0.0000 0.0000  6 Se 2.86
Pb1 0.7466 0.7466 0.7601  6 Se 3.03-3.05
Pb2 0.5000 0.5000 0.5000  6 Se 3.03
Pb3 0.2534 0.2534 0.2399  6 Se 3.03-3.05
Se1 0.8768 0.8768 0.3697  6 Pb 3.03
Se2 0.6309 0.6309 0.1074  3 Cd 2.86, 3 Pb 3.05
Se3 0.3691 0.3691 0.8926  3 Cd 2.86, 3 Pb 3.05
Se4 0.1232 0.1232 0.6303  6 Pb 3.03

[6]
Compound: CdSiPb
Source: the Alexandria database
Functional: SCAN
Structure: single point on PBEsol structure

## Properties
Density of states at the Fermi level, states/eV per cell: 1.32
Crystal system: orthorhombic
Total DFT energy (no corrections), eV/atom: -38.275

Cell: 3.1435 3.8382 6.1603 Å, 108.15 104.78 90.00°
Last column: nearest neighbours and their distance in Å.
Fractional positions:
Cd1 0.9753 0.9753 0.9507  4 Si 2.86, 2 Cd 3.14
Pb1 0.6761 0.6761 0.3522  2 Pb 3.14, 4 Si 3.15, 5 Cd 3.36-3.37
Si1 0.3486 0.3486 0.6971  4 Cd 2.86, 2 Si 3.14, 4 Pb 3.15

[7]
Compound: CdSiPb4
Source: the Alexandria database
Functional: SCAN
Structure: single point on PBEsol structure

## Properties
Density of states at the Fermi level, states/eV per cell: 3.44
Crystal system: cubic
Total DFT energy (no corrections), eV/atom: -56.671

Cell: 6.2847 6.2847 6.2847 Å, 60.00 60.00 60.00°
Last column: nearest neighbours and their distance in Å.
Fractional positions:
Cd1 0.0000 0.0000 0.0000  12 Pb 3.68, 4 Si 3.85
Pb1 0.3751 0.3751 0.3751  6 Pb 3.14
Pb2 0.3751 0.3751 0.8748  6 Pb 3.14
Pb3 0.8748 0.3751 0.3751  6 Pb 3.14
Pb4 0.3751 0.8748 0.3751  6 Pb 3.14
Si1 0.7500 0.7500 0.7500  12 Pb 3.68, 4 Cd 3.85

[8]
Compound: CdSiPb
Source: the Alexandria database
Functional: SCAN
Structure: single point on PBEsol structure

## Properties
Density of states at the Fermi level, states/eV per cell: 0.82
Crystal system: cubic
Total DFT energy (no corrections), eV/atom: -38.134

Cell: 4.8333 4.8333 4.8333 Å, 60.00 60.00 60.00°
Last column: nearest neighbours and their distance in Å.
Fractional positions:
Cd1 0.5000 0.5000 0.5000  4 Pb 2.96
Pb1 0.2500 0.2500 0.2500  4 Si 2.96, 4 Cd 2.96
Si1 0.0000 0.0000 0.0000  4 Pb 2.96

[9]
Compound: Cd2SiPb
Source: the Alexandria database
Functional: SCAN
Structure: single point on PBEsol structure

## Properties
Density of states at the Fermi level, states/eV per cell: 1.92
Crystal system: trigonal
Total DFT energy (no corrections), eV/atom: -36.273

Cell: 3.2627 3.2627 9.9074 Å, 80.52 80.52 60.00°
Last column: nearest neighbours and their distance in Å.
Fractional positions:
Cd1 0.9957 0.9957 0.0129  3 Si 2.84, 3 Cd 3.01
Cd2 0.7429 0.7429 0.7714  9 Cd 3.01-3.26, 3 Pb 3.37
Pb1 0.5052 0.5052 0.4845  3 Si 3.10, 6 Pb 3.26, 3 Cd 3.37
Si1 0.2563 0.2563 0.2312  3 Cd 2.84, 3 Pb 3.10

[10]
Compound: Cd2SiPb
Source: the Alexandria database
Functional: SCAN
Structure: single point on PBEsol structure

## Properties
Density of states at the Fermi level, states/eV per cell: 1.66
Crystal system: monoclinic
Total DFT energy (no corrections), eV/atom: -36.250

Cell: 3.1316 5.1867 6.3078 Å, 113.63 103.37 92.36°
Last column: nearest neighbours and their distance in Å.
Fractional positions:
Cd1 0.0000 0.0000 0.5000  6 Cd 2.97-3.13, 2 Si 3.15, 2 Pb 3.15
Cd2 0.5000 0.5000 0.5000  6 Cd 2.97-3.13, 2 Pb 3.15, 2 Si 3.15
Pb1 0.5000 0.5000 0.0000  4 Si 2.97-3.08, 2 Pb 3.13, 4 Cd 3.15
Si1 0.0000 0.0000 0.0000  4 Pb 2.97-3.08, 2 Si 3.13, 4 Cd 3.15

[11]
Compound: Cd2SiPb
Source: the Alexandria database
Functional: SCAN
Structure: single point on PBEsol structure

## Properties
Density of states at the Fermi level, states/eV per cell: 1.74
Crystal system: tetragonal
Total DFT energy (no corrections), eV/atom: -36.300

Cell: 3.2944 3.2944 8.1973 Å, 90.00 90.00 90.00°
Last column: nearest neighbours and their distance in Å.
Fractional positions:
Cd1 0.0000 0.0000 0.7111  4 Si 2.90
Cd2 0.0000 0.0000 0.2889  4 Si 2.90
Pb1 0.5000 0.5000 0.0000  4 Pb 3.29, 8 Cd 3.32
Si1 0.5000 0.5000 0.5000  8 Cd 2.90

[12]
Compound: CdSi2Pb
Source: the Alexandria database
Functional: SCAN
Structure: single point on PBEsol structure

## Properties
Density of states at the Fermi level, states/eV per cell: 4.48
Crystal system: tetragonal
Total DFT energy (no corrections), eV/atom: -30.924

Cell: 6.1265 6.1265 7.2770 Å, 114.89 114.89 90.00°
Last column: nearest neighbours and their distance in Å.
Fractional positions:
Pb1 0.2500 0.7500 0.5000  4 Si 2.67
Pb2 0.0000 0.0000 0.0000  4 Si 2.67
Si1 0.3898 0.8750 0.2500  2 Cd 2.56, 2 Pb 2.67
Si2 0.8602 0.3750 0.2500  2 Cd 2.56, 2 Pb 2.67
Si3 0.1250 0.1398 0.7500  2 Cd 2.56, 2 Pb 2.67
Si4 0.6250 0.6102 0.7500  2 Cd 2.56, 2 Pb 2.67
Cd1 0.7500 0.2500 0.5000  4 Si 2.56
Cd2 0.5000 0.5000 0.0000  4 Si 2.56

The lowest total DFT energy (no corrections) belongs to which entry?
CdSiPb4